Version one
Entry from Alexandria via LeMat-Bulk: a relaxed ZrOsAu2 crystal (GGA-PBE).

* calculated density: 16.02 g cm⁻³
* magnetization: 0.00 μB per formula unit

CIF file:
```
data_ZrOsAu2
_chemical_formula_sum 'Zr2 Os2 Au4'
_space_group_name_H-M_alt 'I 4/m m m'
_space_group_IT_number 139
_space_group_name_Hall '-I 4 2'
_cell_length_a 3.975
_cell_length_b 3.975
_cell_length_c 8.860
_cell_angle_alpha 90.00
_cell_angle_beta 90.00
_cell_angle_gamma 90.00
loop_
_atom_site_label
_atom_site_fract_x
_atom_site_fract_y
_atom_site_fract_z
Zr1 0.000 0.000 0.000
Os1 0.000 0.000 0.500
Au1 0.000 0.500 0.250
```

---

Version two
Entry from Alexandria via LeMat-Bulk: a relaxed ZrOsAu2 crystal (GGA-PBE).

* calculated density: 16.08 g cm⁻³
* magnetization: 0.00 μB per formula unit

CIF file:
```
data_ZrOsAu2
_chemical_formula_sum 'Zr1 Os1 Au2'
_space_group_name_H-M_alt 'P 4/m m m'
_space_group_IT_number 123
_space_group_name_Hall '-P 4 2'
_cell_length_a 4.011
_cell_length_b 4.011
_cell_length_c 4.335
_cell_angle_alpha 90.00
_cell_angle_beta 90.00
_cell_angle_gamma 90.00
loop_
_atom_site_label
_atom_site_fract_x
_atom_site_fract_y
_atom_site_fract_z
Zr1 0.000 0.000 0.000
Os1 0.500 0.500 0.000
Au1 0.000 0.500 0.500
```

---

Tell me which of them is the most stable. Sure, it is version two.

---

Version one
Entry from Alexandria via LeMat-Bulk: a relaxed ZrOs2Au2 crystal (GGA-PBE).

* calculated density: 16.23 g cm⁻³
* magnetization: 0.00 μB per formula unit

CIF file:
```
data_ZrOs2Au2
_chemical_formula_sum 'Zr2 Os4 Au4'
_space_group_name_H-M_alt 'P 4/m b m'
_space_group_IT_number 127
_space_group_name_Hall '-P 4 2ab'
_cell_length_a 7.765
_cell_length_b 7.765
_cell_length_c 2.937
_cell_angle_alpha 90.00
_cell_angle_beta 90.00
_cell_angle_gamma 90.00
loop_
_atom_site_label
_atom_site_fract_x
_atom_site_fract_y
_atom_site_fract_z
Zr1 0.000 0.000 0.000
Os1 0.119 0.381 0.500
Au1 0.175 0.675 0.000
```

---

Version two
Entry from Alexandria via LeMat-Bulk: a relaxed ZrOs2Au2 crystal (GGA-PBE).

* calculated density: 15.64 g cm⁻³
* magnetization: 0.00 μB per formula unit

CIF file:
```
data_ZrOs2Au2
_chemical_formula_sum 'Zr2 Os4 Au4'
_space_group_name_H-M_alt 'I 4/m m m'
_space_group_IT_number 139
_space_group_name_Hall '-I 4 2'
_cell_length_a 3.688
_cell_length_b 3.688
_cell_length_c 13.516
_cell_angle_alpha 90.00
_cell_angle_beta 90.00
_cell_angle_gamma 90.00
loop_
_atom_site_label
_atom_site_fract_x
_atom_site_fract_y
_atom_site_fract_z
Zr1 0.000 0.000 0.000
Os1 0.000 0.500 0.250
Au1 0.000 0.000 0.401
```

---

Tell me which of them is the most stable. Sure, it is version two.